VASP calculation (GGA+U) on WAuS2F after structural relaxation.

Values from the calculation:
- Calculated total energy: -16.21 eV/cell
- Volume: 95.2 Å³ per cell

```
data_WAuS2F
_chemical_formula_sum 'W1 Au1 S2 F1'
_cell_length_a 4.7961
_cell_length_b 4.7961
_cell_length_c 4.1405
_cell_angle_alpha 90.00
_cell_angle_beta 90.00
_cell_angle_gamma 90.00
_symmetry_space_group_name_H-M 'P 4/m m m'
_symmetry_Int_Tables_number 123
_symmetry_space_group_name_Hall '-P 4 2'
loop_
_atom_site_label
_atom_site_type_symbol
_atom_site_fract_x
_atom_site_fract_y
_atom_site_fract_z
_atom_site_occupancy
W1 W 0.0000 0.0000 0.0000 1
Au1 Au 0.5000 0.5000 0.0000 1
S1 S 0.0000 0.5000 0.5000 1
F1 F 0.5000 0.5000 0.5000 1
```